No. 1
A plane-wave DFT calculation with PBE was carried out for As2CS after structural relaxation.

Cell lengths 5.9705, 5.9705, 5.7344 Å; angles 58.63, 58.63, 90.00 degrees
Closest atoms and distances in Å follow each position.
Positions (direct):
1 As 0.3750 0.4453 0.7500  2 C 2.08
2 C 0.5000 0.5000 0.0000  4 As 2.08
3 As 0.8750 0.8047 0.7500  2 C 2.08
4 S 0.0000 0.0000 0.0000  4 As 2.61
5 S 0.7500 0.2500 0.5000  4 As 2.61
6 As 0.1953 0.6250 0.2500  2 C 2.08
7 As 0.5547 0.1250 0.2500  2 C 2.08
8 C 0.2500 0.7500 0.5000  4 As 2.08

Density = 4.7 g/cm³
Density of states at the Fermi level = 2.634 states/eV per cell
Space group = I-42d, No. 122
Uncorrected formation energy = 0.844 eV/atom
ΔE to the lowest computed polymorph = 0 meV per atom

No. 2
A plane-wave DFT calculation with PBE was carried out for Na6Bi2Pt after structural relaxation.

Cell lengths 5.3921, 5.3921, 10.6196 Å; angles 75.29, 75.29, 60.00 degrees
Closest atoms and distances in Å follow each position.
Positions (direct):
1 Na 0.5840 0.5840 0.2481  3 Bi 3.12, 1 Na 3.40
2 Na 0.4160 0.4160 0.7519  3 Bi 3.12, 1 Na 3.40
3 Pt 0.0000 0.0000 0.0000  2 Bi 2.72
4 Na 0.3045 0.3045 0.0866  3 Pt 3.23, 8 Na 3.32-3.58, 3 Bi 3.62
5 Bi 0.9106 0.9106 0.2682  1 Pt 2.72
6 Bi 0.0894 0.0894 0.7318  1 Pt 2.72
7 Na 0.6955 0.6955 0.9134  3 Pt 3.23, 8 Na 3.32-3.58, 3 Bi 3.62
8 Na 0.1955 0.1955 0.4135  4 Bi 3.23-3.45, 7 Na 3.32-3.57
9 Na 0.8045 0.8045 0.5865  4 Bi 3.23-3.45, 7 Na 3.32-3.57

Density = 4.9 g/cm³
Density of states at the Fermi level = 1.693 states/eV per cell
Energy of formation = -279 kJ/mol of formula units
Space group = R-3m, No. 166

No. 3
A plane-wave DFT calculation with PBE was carried out for BaLaEr after structural relaxation.

Cell lengths 3.8229, 3.8229, 9.5421 Å; angles 90.00, 90.00, 120.00 degrees
Closest atoms and distances in Å follow each position.
Positions (direct):
1 La 0.3333 0.6667 0.6407  3 Er 3.54, 6 La 3.82
2 Er 0.6667 0.3333 0.3505  3 La 3.54, 6 Er 3.82, 3 Ba 3.94
3 Ba 0.0000 0.0000 0.0089  6 Ba 3.82, 3 Er 3.94, 3 La 4.15

Density = 6.1 g/cm³
Density of states at the Fermi level = 5.297 states/eV per cell
Energy of formation = 51 kJ/mol of formula units
Space group = P3m1, No. 156
ΔE to the lowest computed polymorph = 13 meV per atom